(1)
{"formula": "HfCoPd2", "functional": "GGA-PBE", "state": "optimized geometry", "e_form_ev_per_atom": -0.129, "mass_density_g_cm3": 11.39, "spacegroup": "No. 122", "lattice_angstrom": [[-3.253, -0.918, 1.718], [0.533, -3.636, -0.933], [3.152, -3.624, 8.216]], "species": ["Pd", "Pd", "Pd", "Pd", "Hf", "Hf", "Co", "Co"], "frac_coords": [[0.875, 0.863, 0.750], [0.613, 0.125, 0.250], [0.375, 0.387, 0.750], [0.137, 0.625, 0.250], [0.000, 0.000, 0.000], [0.750, 0.250, 0.500], [0.250, 0.750, 0.500], [0.500, 0.500, 0.000]]}


(2)
{"formula": "ZnSe3", "functional": "GGA-PBE", "state": "optimized geometry", "raw_formation_energy_mev_per_atom": 398, "mass_density_g_cm3": 5.43, "spacegroup": "No. 194", "lattice_angstrom": [[5.641, 0.000, 0.000], [-2.821, 4.885, 0.000], [0.000, 0.000, 13.422]], "species": ["Se", "Se", "Se", "Se", "Se", "Se", "Se", "Se", "Se", "Se", "Se", "Se", "Zn", "Zn", "Zn", "Zn"], "frac_coords": [[0.334, 0.167, 0.250], [0.500, 0.000, 0.500], [0.666, 0.833, 0.750], [0.000, 0.500, 0.500], [0.500, 0.000, 0.000], [0.833, 0.167, 0.250], [0.500, 0.500, 0.000], [0.167, 0.833, 0.750], [0.500, 0.500, 0.500], [0.833, 0.666, 0.250], [0.167, 0.334, 0.750], [0.000, 0.500, 0.000], [0.000, 0.000, 0.000], [0.000, 0.000, 0.500], [0.667, 0.333, 0.750], [0.333, 0.667, 0.250]]}


(3)
{"formula": "Mn2PRh", "functional": "GGA-PBE", "state": "optimized geometry", "e_form_ev_per_atom": -0.062, "mass_density_g_cm3": 8.00, "spacegroup": "No. 160", "lattice_angstrom": [[-1.898, -7.369, 1.875], [-0.441, -7.814, -0.424], [0.853, -7.531, 1.996]], "species": ["Rh", "Mn", "Mn", "P"], "frac_coords": [[0.756, 0.756, 0.756], [0.244, 0.244, 0.244], [0.996, 0.996, 0.996], [0.504, 0.504, 0.504]]}


(4)
{"formula": "RuPbSe", "functional": "GGA-PBE", "state": "optimized geometry", "raw_formation_energy_mev_per_atom": -47, "mass_density_g_cm3": 9.11, "spacegroup": "No. 1", "lattice_angstrom": [[3.192, -0.004, 0.001], [1.460, 6.645, 0.005], [1.593, 0.726, 6.654]], "species": ["Se", "Se", "Pb", "Pb", "Ru", "Ru"], "frac_coords": [[0.203, 0.870, 0.574], [0.574, 0.506, 0.163], [0.927, 0.945, 0.060], [0.379, 0.356, 0.693], [0.896, 0.632, 0.403], [0.665, 0.691, 0.815]]}


(5)
{"formula": "TlHgSbTe2", "functional": "GGA-PBE", "state": "optimized geometry", "raw_formation_energy_mev_per_atom": 398, "mass_density_g_cm3": 6.99, "spacegroup": "No. 123", "lattice_angstrom": [[-2.506, 0.838, 5.171], [-1.466, -5.615, 0.199], [4.771, -1.156, 2.500]], "species": ["Hg", "Tl", "Te", "Te", "Sb"], "frac_coords": [[0.000, 0.000, 0.000], [0.500, 0.500, 0.500], [0.500, 0.000, 0.000], [0.000, 0.500, 0.000], [0.000, 0.000, 0.500]]}


(6)
{"formula": "HfNpMn4", "functional": "GGA-PBE", "state": "optimized geometry", "e_form_ev_per_atom": 0.081, "mass_density_g_cm3": 12.14, "spacegroup": "No. 216", "lattice_angstrom": [[4.972, 0.000, 0.000], [2.486, 4.306, 0.000], [2.486, 1.435, 4.060]], "species": ["Hf", "Mn", "Mn", "Mn", "Mn", "Np"], "frac_coords": [[0.000, 0.000, 0.000], [0.625, 0.125, 0.625], [0.125, 0.625, 0.625], [0.625, 0.625, 0.125], [0.625, 0.625, 0.625], [0.250, 0.250, 0.250]]}


(7)
{"formula": "LaPmPb3", "functional": "GGA-PBE", "state": "optimized geometry", "e_form_ev_per_atom": -0.449, "mass_density_g_cm3": 9.19, "spacegroup": "No. 66", "lattice_angstrom": [[-3.000, 8.089, -3.211], [-1.625, -3.794, -8.040], [-8.101, -3.655, -1.640]], "species": ["Pb", "Pb", "Pb", "Pb", "Pb", "Pb", "Pb", "Pb", "Pb", "Pb", "Pb", "Pb", "Pm", "Pm", "Pm", "Pm", "La", "La", "La", "La"], "frac_coords": [[0.500, 0.119, 0.685], [0.000, 0.685, 0.119], [0.500, 0.315, 0.882], [0.500, 0.685, 0.118], [0.000, 0.118, 0.685], [0.500, 0.293, 0.292], [0.000, 0.292, 0.293], [0.000, 0.708, 0.707], [0.500, 0.881, 0.315], [0.500, 0.707, 0.708], [0.000, 0.882, 0.315], [0.000, 0.315, 0.881], [0.750, 0.500, 0.000], [0.250, 0.000, 0.500], [0.750, 0.000, 0.500], [0.250, 0.500, 0.000], [0.250, 0.500, 0.500], [0.750, 0.500, 0.500], [0.750, 0.000, 0.000], [0.250, 0.000, 0.000]]}


(8)
{"formula": "YTl", "functional": "GGA-PBE", "state": "optimized geometry", "e_form_ev_per_atom": 0.046, "mass_density_g_cm3": 7.71, "spacegroup": "No. 186", "lattice_angstrom": [[-1.389, -1.334, -2.987], [1.677, -2.139, 2.290], [-9.971, -1.932, 5.498]], "species": ["Tl", "Tl", "Y", "Y"], "frac_coords": [[0.333, 0.667, 0.050], [0.667, 0.333, 0.550], [0.333, 0.667, 0.321], [0.667, 0.333, 0.821]]}


(9)
{"formula": "LiEr3Tl2", "functional": "GGA-PBE", "state": "optimized geometry", "e_form_ev_per_atom": -0.233, "mass_density_g_cm3": 9.81, "spacegroup": "No. 164", "lattice_angstrom": [[-3.690, -3.745, -0.080], [3.772, -0.103, 3.662], [-7.436, 7.160, 7.859]], "species": ["Er", "Er", "Er", "Er", "Er", "Er", "Tl", "Tl", "Tl", "Tl", "Li", "Li"], "frac_coords": [[0.000, 0.000, 0.250], [0.333, 0.667, 0.421], [0.000, 0.000, 0.750], [0.667, 0.333, 0.082], [0.333, 0.667, 0.918], [0.667, 0.333, 0.579], [0.333, 0.667, 0.184], [0.000, 0.000, 0.500], [0.667, 0.333, 0.816], [0.000, 0.000, 0.000], [0.667, 0.333, 0.328], [0.333, 0.667, 0.672]]}


(10)
{"formula": "P3OsO", "functional": "GGA-PBE", "state": "optimized geometry", "raw_formation_energy_mev_per_atom": 698, "mass_density_g_cm3": 7.70, "spacegroup": "No. 221", "lattice_angstrom": [[-0.155, -1.177, -3.831], [0.782, -3.769, 1.126], [-3.931, -0.704, 0.375]], "species": ["P", "P", "P", "O", "Os"], "frac_coords": [[0.500, 0.000, 0.000], [0.000, 0.000, 0.500], [0.000, 0.500, 0.000], [0.000, 0.000, 0.000], [0.500, 0.500, 0.500]]}


(11)
{"formula": "Hg12Sb3Br5", "functional": "GGA-PBE", "state": "optimized geometry", "raw_formation_energy_mev_per_atom": -17, "mass_density_g_cm3": 7.41, "spacegroup": "No. 230", "lattice_angstrom": [[-1.049, 10.864, 10.944], [5.385, -13.081, 6.226], [9.643, 4.777, -11.095]], "species": ["Br", "Br", "Br", "Br", "Br", "Br", "Br", "Br", "Br", "Br", "Br", "Br", "Br", "Br", "Br", "Br", "Br", "Br", "Br", "Br", "Hg", "Hg", "Hg", "Hg", "Hg", "Hg", "Hg", "Hg", "Hg", "Hg", "Hg", "Hg", "Hg", "Hg", "Hg", "Hg", "Hg", "Hg", "Hg", "Hg", "Hg", "Hg", "Hg", "Hg", "Hg", "Hg", "Hg", "Hg", "Hg", "Hg", "Hg", "Hg", "Hg", "Hg", "Hg", "Hg", "Hg", "Hg", "Hg", "Hg", "Hg", "Hg", "Hg", "Hg", "Hg", "Hg", "Hg", "Hg", "Sb", "Sb", "Sb", "Sb", "Sb", "Sb", "Sb", "Sb", "Sb", "Sb", "Sb", "Sb"], "frac_coords": [[0.000, 0.000, 0.000], [0.375, 0.250, 0.125], [0.500, 0.500, 0.000], [0.000, 0.500, 0.500], [0.500, 0.000, 0.000], [0.250, 0.875, 0.125], [0.125, 0.375, 0.250], [0.000, 0.500, 0.000], [0.250, 0.375, 0.625], [0.750, 0.625, 0.375], [0.625, 0.750, 0.875], [0.750, 0.125, 0.875], [0.875, 0.625, 0.750], [0.625, 0.875, 0.250], [0.875, 0.250, 0.625], [0.500, 0.000, 0.500], [0.375, 0.125, 0.750], [0.125, 0.750, 0.375], [0.500, 0.500, 0.500], [0.000, 0.000, 0.500], [0.393, 0.258, 0.328], [0.135, 0.742, 0.570], [0.107, 0.172, 0.242], [0.672, 0.242, 0.607], [0.758, 0.328, 0.893], [0.107, 0.935, 0.365], [0.065, 0.172, 0.430], [0.172, 0.065, 0.930], [0.865, 0.258, 0.430], [0.607, 0.865, 0.435], [0.607, 0.742, 0.672], [0.865, 0.607, 0.935], [0.242, 0.570, 0.635], [0.742, 0.607, 0.172], [0.828, 0.893, 0.258], [0.242, 0.672, 0.107], [0.570, 0.242, 0.135], [0.065, 0.893, 0.135], [0.935, 0.828, 0.570], [0.328, 0.570, 0.435], [0.430, 0.672, 0.065], [0.935, 0.107, 0.865], [0.070, 0.635, 0.742], [0.135, 0.393, 0.065], [0.172, 0.107, 0.742], [0.758, 0.430, 0.365], [0.565, 0.930, 0.672], [0.930, 0.565, 0.172], [0.565, 0.635, 0.393], [0.328, 0.758, 0.393], [0.570, 0.328, 0.935], [0.672, 0.430, 0.565], [0.893, 0.065, 0.635], [0.742, 0.135, 0.070], [0.435, 0.070, 0.328], [0.365, 0.930, 0.758], [0.365, 0.435, 0.107], [0.893, 0.828, 0.758], [0.393, 0.135, 0.565], [0.635, 0.565, 0.893], [0.635, 0.070, 0.242], [0.828, 0.935, 0.070], [0.070, 0.435, 0.828], [0.435, 0.365, 0.607], [0.258, 0.865, 0.930], [0.258, 0.393, 0.828], [0.930, 0.365, 0.258], [0.430, 0.758, 0.865], [0.625, 0.375, 0.750], [0.250, 0.625, 0.875], [0.750, 0.375, 0.125], [0.125, 0.250, 0.875], [0.125, 0.875, 0.750], [0.375, 0.750, 0.625], [0.375, 0.625, 0.250], [0.750, 0.875, 0.625], [0.250, 0.125, 0.375], [0.875, 0.125, 0.250], [0.875, 0.750, 0.125], [0.625, 0.250, 0.375]]}


(12)
{"formula": "TlCuAs", "functional": "GGA-PBE", "state": "optimized geometry", "e_form_ev_per_atom": 0.215, "mass_density_g_cm3": 8.91, "spacegroup": "No. 216", "lattice_angstrom": [[4.487, 0.000, 0.000], [2.244, 3.886, 0.000], [2.244, 1.295, 3.664]], "species": ["As", "Cu", "Tl"], "frac_coords": [[0.500, 0.500, 0.500], [0.750, 0.750, 0.750], [0.000, 0.000, 0.000]]}


(13)
{"formula": "Er5Tl2Tc", "functional": "GGA-PBE", "state": "optimized geometry", "e_form_ev_per_atom": 0.148, "mass_density_g_cm3": 8.18, "spacegroup": "No. 63", "lattice_angstrom": [[-1.130, 1.449, -5.103], [0.181, -8.621, 0.394], [-11.986, -0.132, 2.617]], "species": ["Er", "Er", "Er", "Er", "Er", "Er", "Er", "Er", "Er", "Er", "Tl", "Tl", "Tl", "Tl", "Tc", "Tc"], "frac_coords": [[0.707, 0.413, 0.575], [0.929, 0.858, 0.605], [0.071, 0.142, 0.105], [0.707, 0.413, 0.925], [0.702, 0.404, 0.250], [0.071, 0.142, 0.395], [0.298, 0.596, 0.750], [0.293, 0.587, 0.075], [0.293, 0.587, 0.425], [0.929, 0.858, 0.895], [0.879, 0.759, 0.131], [0.121, 0.241, 0.631], [0.879, 0.759, 0.369], [0.121, 0.241, 0.869], [0.186, 0.372, 0.250], [0.814, 0.628, 0.750]]}


(14)
{"formula": "AlCuTc2W", "functional": "GGA-PBE", "state": "optimized geometry", "e_form_ev_per_atom": 1.644, "mass_density_g_cm3": 7.26, "spacegroup": "No. 123", "lattice_angstrom": [[-0.653, 3.909, 2.530], [0.530, -2.565, 4.100], [4.629, 0.826, -0.081]], "species": ["Cu", "Tc", "Tc", "Al", "W"], "frac_coords": [[0.500, 0.500, 0.500], [0.000, 0.000, 0.500], [0.500, 0.000, 0.000], [0.000, 0.500, 0.000], [0.000, 0.000, 0.000]]}


(15)
{"formula": "LiTb4Pd5", "functional": "GGA-PBE", "state": "optimized geometry", "e_form_ev_per_atom": -0.801, "mass_density_g_cm3": 9.58, "spacegroup": "No. 123", "lattice_angstrom": [[3.475, 0.000, 0.000], [0.000, 3.475, 0.000], [0.000, 0.000, 16.858]], "species": ["Pd", "Pd", "Pd", "Pd", "Pd", "Tb", "Tb", "Tb", "Tb", "Li"], "frac_coords": [[0.500, 0.500, 0.500], [0.500, 0.500, 0.713], [0.500, 0.500, 0.287], [0.500, 0.500, 0.916], [0.500, 0.500, 0.084], [0.000, 0.000, 0.393], [0.000, 0.000, 0.180], [0.000, 0.000, 0.607], [0.000, 0.000, 0.820], [0.000, 0.000, 0.000]]}


(16)
{"formula": "Ti2CdAu", "functional": "GGA-PBE", "state": "optimized geometry", "e_form_ev_per_atom": -0.114, "mass_density_g_cm3": 9.19, "spacegroup": "No. 123", "lattice_angstrom": [[-0.819, 1.032, 3.141], [2.975, -1.183, 1.164], [2.673, 5.599, -1.143]], "species": ["Ti", "Ti", "Au", "Cd"], "frac_coords": [[0.000, 0.000, 0.234], [0.000, 0.000, 0.766], [0.500, 0.500, 0.000], [0.500, 0.500, 0.500]]}


(17)
{"formula": "KNiCl", "functional": "GGA-PBE", "state": "optimized geometry", "raw_formation_energy_mev_per_atom": -616, "mass_density_g_cm3": 3.25, "spacegroup": "No. 8", "lattice_angstrom": [[-3.246, 0.986, -0.794], [-1.230, -5.797, -9.837], [-1.263, -2.396, 2.187]], "species": ["Cl", "Cl", "K", "K", "Ni", "Ni"], "frac_coords": [[0.806, 0.854, 0.256], [0.635, 0.199, 0.429], [0.215, 0.040, 0.850], [0.389, 0.688, 0.673], [0.006, 0.447, 0.053], [0.530, 0.397, 0.528]]}


(18)
{"formula": "CrIr", "functional": "GGA-PBE", "state": "optimized geometry", "e_form_ev_per_atom": 0.228, "mass_density_g_cm3": 14.16, "spacegroup": "No. 176", "lattice_angstrom": [[-0.947, 3.466, -7.844], [-6.411, 0.522, 5.749], [0.993, 2.305, 0.898]], "species": ["Cr", "Cr", "Cr", "Cr", "Cr", "Cr", "Ir", "Ir", "Ir", "Ir", "Ir", "Ir"], "frac_coords": [[0.538, 0.388, 0.250], [0.462, 0.612, 0.750], [0.149, 0.538, 0.750], [0.851, 0.462, 0.250], [0.388, 0.851, 0.750], [0.612, 0.149, 0.250], [0.708, 0.951, 0.750], [0.243, 0.292, 0.750], [0.951, 0.243, 0.250], [0.049, 0.757, 0.750], [0.757, 0.708, 0.250], [0.292, 0.049, 0.250]]}


(19)
{"formula": "Sm4Ga3Ag", "functional": "GGA-PBE", "state": "optimized geometry", "e_form_ev_per_atom": -0.479, "mass_density_g_cm3": 7.37, "spacegroup": "No. 25", "lattice_angstrom": [[-2.388, 0.917, 3.430], [-2.491, -3.395, -0.827], [6.679, -6.454, 6.374]], "species": ["Ga", "Ga", "Ga", "Sm", "Sm", "Sm", "Sm", "Ag"], "frac_coords": [[0.500, 0.000, 0.919], [0.000, 0.000, 0.428], [0.000, 0.500, 0.573], [0.500, 0.500, 0.362], [0.500, 0.000, 0.643], [0.000, 0.000, 0.145], [0.000, 0.500, 0.856], [0.500, 0.500, 0.074]]}


(20)
{"formula": "PmSmSi3", "functional": "GGA-PBE", "state": "optimized geometry", "raw_formation_energy_mev_per_atom": -695, "mass_density_g_cm3": 5.92, "spacegroup": "No. 63", "lattice_angstrom": [[-1.465, 3.475, -1.333], [-3.512, -2.018, -1.403], [-3.721, 2.910, 11.679]], "species": ["Si", "Si", "Si", "Si", "Si", "Si", "Sm", "Sm", "Pm", "Pm"], "frac_coords": [[0.750, 0.619, 0.238], [0.750, 0.525, 0.049], [0.750, 0.324, 0.648], [0.250, 0.475, 0.951], [0.250, 0.381, 0.762], [0.250, 0.676, 0.352], [0.750, 0.202, 0.404], [0.250, 0.798, 0.596], [0.750, 0.931, 0.862], [0.250, 0.069, 0.138]]}